DFT (PBE) results for an optimized crystal structure of Cd8Hg3Au.

Space-group type = Cm
ΔH_f (0 K) = 0.000 eV per atom
Spin magnetization = 0.000 μB/f.u.
N(E_F) = 3.24 states/eV per cell

Structure (POSCAR):
```
Cd8Hg3Au
1.0
1.8901 -4.0931 6.8867
3.9157 -1.3015 -5.2904
7.8366 0.9969 1.3955
Cd Hg Au
8 3 1
Direct
0.1015 0.0000 0.6303
0.5460 0.6081 0.3846
0.9379 0.3919 0.9926
0.3617 0.0000 0.8213
0.7321 0.0000 0.8341
0.8274 0.4352 0.3691
0.3923 0.5648 0.8042
0.1843 0.0000 0.2450
0.7159 0.4799 0.7733
0.2360 0.5201 0.2533
0.4681 0.0000 0.3907
0.9969 0.0000 0.0017
```